KCaAs2Br, optimized geometry, DFT PBEsol; spin magnetization = 0.588 μB/f.u.; calculated density = 1.5 g/cm³; energy = -2.990 eV per atom
1.0
5.250 0.000 0.000
0.000 5.250 0.000
0.000 0.000 12.826
As Br Ca K
2 1 1 1
Direct
0.500 0.000 0.000
0.000 0.500 0.000
0.500 0.500 0.500
0.000 0.000 0.000
0.000 0.000 0.500